Below is Sr3Cl after structural relaxation, with properties calculated at the PBE level.

Lattice parameters (Å, degrees): 4.2749 7.1402 11.5564 90.00 90.00 90.00
Space group Cmmm (No. 65)
Unique sites:
Sr: 0.0000 0.0000 0.0000
Sr: 0.0000 0.5000 0.2997
Cl: 0.0000 0.0000 0.5000

Properties
* total moment: 0.000 μB/atom
* N(E_F): 3.7 states/eV/f.u.
* uncorrected formation energy: -0.79 eV per atom